# 1
A plane-wave DFT calculation with GGA-PBE was carried out for PmAlTl2 after structural relaxation.

## Properties
ρ in Mg/m³: 9.4
Energy relative to the elements in eV per formula unit: -1.00

Unit cell a=4.666 b=4.666 c=4.699 alpha=90.00 beta=90.00 gamma=90.00
Space group P4/mmm (No. 123)
Inequivalent atoms, fractional coordinates:
Pm 0.000 0.000 0.000 x1
Al 0.500 0.500 0.000 x1
Tl 0.000 0.500 0.500 x2

# 2
A plane-wave DFT calculation with GGA-PBE was carried out for Pa2NiGe after structural relaxation.

## Properties
Distance to the lowest polymorph of the same formula in kJ/mol of formula units: 49
ρ in Mg/m³: 12.6
Energy relative to the elements in eV per formula unit: -1.18

Unit cell a=4.323 b=4.323 c=4.187 alpha=90.00 beta=90.00 gamma=90.00
Space group P4/mmm (No. 123)
Inequivalent atoms, fractional coordinates:
Pa 0.000 0.500 0.000 x2
Ni 0.000 0.000 0.500 x1
Ge 0.500 0.500 0.500 x1

# 3
A plane-wave DFT calculation with GGA-PBE was carried out for NbRhSe2I after structural relaxation.

## Properties
ρ in Mg/m³: 6.6
Formation energy (no corrections) in eV/atom: 0.660

Unit cell a=4.853 b=4.853 c=5.129 alpha=90.00 beta=90.00 gamma=90.00
Space group P4/mmm (No. 123)
Inequivalent atoms, fractional coordinates:
Nb 0.000 0.000 0.000 x1
Rh 0.000 0.000 0.500 x1
Se 0.000 0.500 0.500 x2
I 0.500 0.500 0.000 x1

# 4
A plane-wave DFT calculation with GGA-PBE was carried out for PrTa4Te8 after structural relaxation.

## Properties
ρ in Mg/m³: 8.0
Formation energy (no corrections) in eV/atom: -0.348

Unit cell a=7.6173 b=7.6173 c=23.3071 alpha=90.00 beta=90.00 gamma=120.00
Space group R-3m (No. 166, hexagonal axes)
Inequivalent atoms, fractional coordinates:
Pr 0.0000 0.0000 0.0000 x3
Ta 0.0000 0.0000 0.5000 x3
Ta 0.0000 0.5000 0.5000 x9
Te 0.0000 0.0000 0.2429 x6
Te 0.0105 0.5053 0.2427 x18

# 5
A plane-wave DFT calculation with GGA-PBE was carried out for TbHoLu after structural relaxation.

## Properties
Distance to the lowest polymorph of the same formula in kJ/mol of formula units: 16
ρ in Mg/m³: 9.1
Energy relative to the elements in eV per formula unit: 0.24

Unit cell a=5.5555 b=5.5555 c=3.4131 alpha=90.00 beta=90.00 gamma=120.00
Space group P3m1 (No. 156)
Inequivalent atoms, fractional coordinates:
Tb 0.0000 0.0000 0.0000 x1
Ho 0.6667 0.3333 0.4987 x1
Lu 0.3333 0.6667 0.5015 x1

# 6
A plane-wave DFT calculation with GGA-PBE was carried out for ReTe2SeI after structural relaxation.

## Properties
Distance to the lowest polymorph of the same formula in kJ/mol of formula units: 364
ρ in Mg/m³: 6.3
Formation energy (no corrections) in eV/atom: 1.511

Unit cell a=5.499 b=5.499 c=5.617 alpha=90.00 beta=90.00 gamma=90.00
Space group P4/mmm (No. 123)
Inequivalent atoms, fractional coordinates:
Re 0.000 0.000 0.000 x1
Te 0.000 0.500 0.500 x2
Se 0.500 0.500 0.500 x1
I 0.500 0.500 0.000 x1